(1)
TlHg3Sb2Br3 (PBE-GGA, relaxed); crystal system = orthorhombic; total DFT energy (no corrections) = -80.1 eV for the cell shown
1.0
6.689 0.000 0.000
0.000 13.309 0.000
0.000 0.000 13.293
Hg Tl Br Sb
12 4 12 8
Direct
0.470 0.250 0.500 Hg
0.000 0.000 0.000 Hg
0.000 0.000 0.500 Hg
0.529 0.511 0.250 Hg
0.529 0.989 0.750 Hg
0.000 0.500 0.500 Hg
0.471 0.011 0.250 Hg
0.471 0.489 0.750 Hg
0.000 0.500 0.000 Hg
0.470 0.250 0.000 Hg
0.530 0.750 0.500 Hg
0.530 0.750 0.000 Hg
0.999 0.258 0.250 Tl
0.999 0.242 0.750 Tl
0.001 0.758 0.250 Tl
0.001 0.742 0.750 Tl
0.096 0.750 0.500 Br
0.476 0.707 0.750 Br
0.095 0.509 0.250 Br
0.904 0.250 0.500 Br
0.524 0.207 0.750 Br
0.476 0.793 0.250 Br
0.905 0.009 0.250 Br
0.904 0.250 0.000 Br
0.095 0.991 0.750 Br
0.524 0.293 0.250 Br
0.905 0.491 0.750 Br
0.096 0.750 0.000 Br
0.628 0.940 0.557 Sb
0.628 0.560 0.443 Sb
0.628 0.560 0.057 Sb
0.372 0.440 0.943 Sb
0.372 0.060 0.443 Sb
0.372 0.060 0.057 Sb
0.628 0.940 0.943 Sb
0.372 0.440 0.557 Sb

(2)
ScHg2TeBr6 (PBE-GGA, relaxed); crystal system = cubic; total DFT energy (no corrections) = -25.5 eV for the cell shown; M_tot = 0.70 μB per cell
1.0
6.669 -3.898 -0.694
2.761 -4.061 6.003
-0.044 -7.753 -0.214
Br Sc Te Hg
6 1 1 2
Direct
0.242 0.242 0.758 Br
0.758 0.242 0.242 Br
0.242 0.758 0.758 Br
0.758 0.242 0.758 Br
0.242 0.758 0.242 Br
0.758 0.758 0.242 Br
0.000 0.000 0.000 Sc
0.500 0.500 0.500 Te
0.250 0.250 0.250 Hg
0.750 0.750 0.750 Hg

(3)
Hg3Se2Br2 (PBE-GGA, relaxed); crystal system = cubic; total DFT energy (no corrections) = -27.4 eV for the cell shown; energy relative to the lowest polymorph listed for this composition = 0.0000 eV/atom
1.0
-4.781 4.781 4.781
4.781 -4.781 4.781
4.781 4.781 -4.781
Hg Br Se
6 4 4
Direct
0.197 0.750 0.947 Hg
0.947 0.197 0.750 Hg
0.750 0.947 0.197 Hg
0.303 0.250 0.553 Hg
0.250 0.553 0.303 Hg
0.553 0.303 0.250 Hg
0.500 0.000 0.489 Br
0.000 0.489 0.500 Br
0.011 0.011 0.011 Br
0.489 0.500 0.000 Br
0.969 0.500 0.000 Se
0.000 0.969 0.500 Se
0.500 0.000 0.969 Se
0.531 0.531 0.531 Se